LiAcMgPt2: relaxed, PBE-GGA.

Calculated values
energy of formation from the pure elements	-0.875	eV per atom
crystal system	tetragonal

Cell lengths 4.1252, 4.1252, 6.9274 Å; angles 107.32, 107.32, 90.00 degrees
Fractional coordinates of all 5 atoms:
1 Li 0.2500 0.7500 0.5000
2 Ac 0.0000 0.0000 0.0000
3 Mg 0.7500 0.2500 0.5000
4 Pt 0.6107 0.6107 0.2213
5 Pt 0.3893 0.3893 0.7787